Entry 1:
A geometry-optimized Hf2GeN structure. Source: Alexandria via LeMat-Bulk, functional PBE.

Its crystal system is cubic. The density of states at the Fermi level comes out at 0.943 states/eV/atom. Its uncorrected formation energy is 0.0482 eV/atom.

Lattice parameters (Å, degrees): 6.306 6.306 6.306 90.00 90.00 90.00
Space group Fm-3m (No. 225)
Asymmetric unit:
Hf: 0.250 0.250 0.250
Ge: 0.000 0.000 0.000
N: 0.000 0.000 0.500

Entry 2:
A geometry-optimized Hf3GeN structure. Source: Alexandria via LeMat-Bulk, functional PBE.

Its crystal system is cubic. The density of states at the Fermi level comes out at 1.038 states/eV/atom. Its uncorrected formation energy is -0.7030 eV/atom.

Lattice parameters (Å, degrees): 4.397 4.397 4.397 90.00 90.00 90.00
Space group Pm-3m (No. 221)
Asymmetric unit:
Hf: 0.000 0.000 0.500
Ge: 0.500 0.500 0.500
N: 0.000 0.000 0.000

Entry 3:
A geometry-optimized HfGeN3 structure. Source: Alexandria via LeMat-Bulk, functional PBE.

Its crystal system is cubic. The density of states at the Fermi level comes out at 0.607 states/eV/atom. Its uncorrected formation energy is 0.6523 eV/atom.

Lattice parameters (Å, degrees): 4.178 4.178 4.178 90.00 90.00 90.00
Space group Pm-3m (No. 221)
Asymmetric unit:
Hf: 0.000 0.000 0.000
Ge: 0.500 0.500 0.500
N: 0.000 0.000 0.500

Entry 4:
A geometry-optimized HfGe3N structure. Source: Alexandria via LeMat-Bulk, functional PBE.

Its crystal system is cubic. The density of states at the Fermi level comes out at 0.439 states/eV/atom. Its excess energy over the best structure of this formula in the dataset is 0.000 eV per atom. Its uncorrected formation energy is 0.4394 eV/atom.

Lattice parameters (Å, degrees): 4.313 4.313 4.313 90.00 90.00 90.00
Space group Pm-3m (No. 221)
Asymmetric unit:
Hf: 0.000 0.000 0.000
Ge: 0.000 0.500 0.500
N: 0.500 0.500 0.500